Entry 1:
A plane-wave DFT calculation with GGA-PBE was carried out for a relaxed LaGe2P2 crystal.

abc: 7.117 7.117 7.117
angles: 147.00 147.00 47.36
Element x y z (fractional)
La1 0.000 0.000 0.000
Ge1 0.250 0.750 0.500
Ge2 0.750 0.250 0.500
P1 0.415 0.415 0.000
P2 0.585 0.585 0.000

The relative energy among the computed polymorphs is 0.00 eV/f.u. As for the space group: I4/mmm (139). As for the energy of formation from the pure elements: -0.40 eV/atom.


Entry 2:
A plane-wave DFT calculation with GGA-PBE was carried out for a relaxed Tl2Rh3Se4 crystal.

abc: 8.516 7.273 6.170
angles: 78.14 56.70 45.16
Element x y z (fractional)
Tl1 0.135 0.135 0.865
Tl2 0.865 0.865 0.135
Rh1 0.000 0.000 0.500
Rh2 0.500 0.500 0.000
Rh3 0.500 0.500 0.500
Se1 0.205 0.535 0.465
Se2 0.465 0.795 0.205
Se3 0.535 0.205 0.795
Se4 0.795 0.465 0.535

The formation energy without anion corrections is -2.54 eV per formula unit. As for the space group: Fmmm (69).


Entry 3:
A plane-wave DFT calculation with GGA-PBE was carried out for a relaxed CrTcBr2 crystal.

abc: 3.323 3.323 9.443
angles: 101.66 101.66 61.81
Element x y z (fractional)
Cr1 0.000 0.000 0.000
Tc1 0.605 0.605 0.161
Br1 0.228 0.228 0.806
Br2 0.389 0.389 0.371

The relative energy among the computed polymorphs is 0.00 eV/f.u. The formation energy without anion corrections is 0.25 eV per formula unit. As for the space group: Cm (8).


Entry 4:
A plane-wave DFT calculation with GGA-PBE was carried out for a relaxed Ba8SrCa6 crystal.

abc: 11.523 11.523 7.049
angles: 90.00 90.00 120.00
Element x y z (fractional)
Ba1 0.041 0.763 0.206
Ba2 0.237 0.279 0.206
Ba3 0.279 0.041 0.794
Ba4 0.333 0.667 0.202
Ba5 0.667 0.333 0.798
Ba6 0.721 0.959 0.206
Ba7 0.763 0.721 0.794
Ba8 0.959 0.237 0.794
Sr1 0.000 0.000 0.500
Ca1 0.102 0.630 0.708
Ca2 0.370 0.472 0.708
Ca3 0.472 0.102 0.292
Ca4 0.528 0.898 0.708
Ca5 0.630 0.528 0.292
Ca6 0.898 0.370 0.292

The relative energy among the computed polymorphs is 0.00 eV/f.u. As for the space group: P-3 (147). As for the energy of formation from the pure elements: 0.17 eV/atom.


Entry 5:
A plane-wave DFT calculation with GGA-PBE was carried out for a relaxed Ce2CoN3 crystal.

abc: 6.624 6.624 6.624
angles: 149.57 147.32 45.25
Element x y z (fractional)
Ce1 0.144 0.144 0.000
Ce2 0.856 0.856 0.000
Co1 0.500 0.500 0.000
N1 0.000 0.500 0.500
N2 0.336 0.336 0.000
N3 0.664 0.664 0.000

The formation energy without anion corrections is -7.01 eV per formula unit. As for the space group: Immm (71).


Entry 6:
A plane-wave DFT calculation with GGA-PBE was carried out for a relaxed Ba2Ag4SnPb3 crystal.

abc: 4.965 4.965 11.814
angles: 90.00 90.00 90.00
Element x y z (fractional)
Ba1 0.000 0.500 0.244
Ba2 0.500 0.000 0.756
Ag1 0.000 0.000 0.000
Ag2 0.000 0.500 0.631
Ag3 0.500 0.000 0.369
Ag4 0.500 0.500 0.000
Sn1 0.000 0.000 0.500
Pb1 0.000 0.500 0.872
Pb2 0.500 0.000 0.128
Pb3 0.500 0.500 0.500

As for the space group: P-4m2 (115). As for the energy of formation from the pure elements: -0.28 eV/atom.


Asked for raw total energy across the records above, the calculation gives -5.40, -4.81, -5.77, -1.77, -8.49, -3.32 eV/atom in order.
Asked for V across the records above, the calculation gives 106.5, 215.6, 89.3, 810.6, 79.2, 291.2 Å³/cell in order.